(1)
# Dy3Zn3IrAu2 (GGA-PBE, relaxed)
# **Energy of formation**: -0.6812 eV/atom
# **VASP energy**: -4.346 eV per atom
# **Symmetry**: No. 189
data_Dy3Zn3IrAu2
_chemical_formula_sum 'Dy3 Zn3 Ir1 Au2'
_cell_length_a 7.2840
_cell_length_b 7.2840
_cell_length_c 4.0132
_cell_angle_alpha 90.00
_cell_angle_beta 90.00
_cell_angle_gamma 120.00
_space_group_name_H-M_alt 'P 1'
_space_group_IT_number 1
loop_
_space_group_symop_operation_xyz
'x,y,z'
loop_
_atom_site_label
_atom_site_type_symbol
_atom_site_fract_x
_atom_site_fract_y
_atom_site_fract_z
Dy1 Dy 0.0000 0.6063 0.0000
Dy2 Dy 0.3937 0.3937 0.0000
Dy3 Dy 0.6063 0.0000 0.0000
Zn1 Zn 0.0000 0.2384 0.5000
Zn2 Zn 0.2384 0.0000 0.5000
Zn3 Zn 0.7616 0.7616 0.5000
Ir1 Ir 0.0000 0.0000 0.0000
Au1 Au 0.3333 0.6667 0.5000
Au2 Au 0.6667 0.3333 0.5000



(2)
# KDyAuSe3 (GGA-PBE, relaxed)
# **VASP energy**: -4.349 eV per atom
# **Symmetry**: No. 63
data_KDyAuSe3
_chemical_formula_sum 'K2 Dy2 Au2 Se6'
_cell_length_a 7.9767
_cell_length_b 7.9767
_cell_length_c 10.6817
_cell_angle_alpha 90.00
_cell_angle_beta 90.00
_cell_angle_gamma 150.24
_space_group_name_H-M_alt 'P 1'
_space_group_IT_number 1
loop_
_space_group_symop_operation_xyz
'x,y,z'
loop_
_atom_site_label
_atom_site_type_symbol
_atom_site_fract_x
_atom_site_fract_y
_atom_site_fract_z
K1 K 0.2433 0.7567 0.7500
K2 K 0.7567 0.2433 0.2500
Dy1 Dy 0.0000 0.0000 0.0000
Dy2 Dy 0.0000 0.0000 0.5000
Au1 Au 0.4676 0.5324 0.2500
Au2 Au 0.5324 0.4676 0.7500
Se1 Se 0.0776 0.9224 0.2500
Se2 Se 0.3717 0.6283 0.0515
Se3 Se 0.3717 0.6283 0.4485
Se4 Se 0.6283 0.3717 0.5515
Se5 Se 0.6283 0.3717 0.9485
Se6 Se 0.9224 0.0776 0.7500



(3)
# KDyTe3Au (GGA-PBE, relaxed)
# **VASP energy**: -3.983 eV per atom
# **Symmetry**: No. 63
data_KDyTe3Au
_chemical_formula_sum 'K2 Dy2 Te6 Au2'
_cell_length_a 8.5771
_cell_length_b 8.5771
_cell_length_c 11.3046
_cell_angle_alpha 90.00
_cell_angle_beta 90.00
_cell_angle_gamma 151.35
_space_group_name_H-M_alt 'P 1'
_space_group_IT_number 1
loop_
_space_group_symop_operation_xyz
'x,y,z'
loop_
_atom_site_label
_atom_site_type_symbol
_atom_site_fract_x
_atom_site_fract_y
_atom_site_fract_z
K1 K 0.2399 0.7601 0.7500
K2 K 0.7601 0.2399 0.2500
Dy1 Dy 0.0000 0.0000 0.0000
Dy2 Dy 0.0000 0.0000 0.5000
Te1 Te 0.0775 0.9225 0.2500
Te2 Te 0.3697 0.6303 0.0520
Te3 Te 0.3697 0.6303 0.4480
Te4 Te 0.6303 0.3697 0.5520
Te5 Te 0.6303 0.3697 0.9480
Te6 Te 0.9225 0.0775 0.7500
Au1 Au 0.4672 0.5328 0.2500
Au2 Au 0.5328 0.4672 0.7500



no.,magnetization (μB/cell)
1,0.0
2,0.4
3,0.0